DFT (PBE) results for a geometry-optimized CaRh3C structure.

extended XYZ file:
```
20
Lattice="5.151 -5.371 0.000 5.151 5.371 0.000 -3.041 0.000 6.128" Properties=species:S:1:pos:R:3 pbc="T T T"
Ca 1.194 1.062 0.897
Ca -0.326 -1.062 3.961
Ca 7.587 1.062 2.166
Ca 6.067 -1.062 5.230
Rh 2.797 3.488 1.762
Rh 1.843 1.772 3.687
Rh 5.984 3.488 1.302
Rh 4.264 1.075 0.158
Rh 4.517 1.075 2.906
Rh 3.897 1.772 5.505
Rh 3.364 -1.772 0.623
Rh 2.744 -1.075 3.222
Rh 2.997 -1.075 5.970
Rh 1.277 -3.488 4.826
Rh 5.418 -1.772 2.441
Rh 4.464 -3.488 4.366
C 4.391 2.492 1.532
C 2.870 0.391 4.596
C 4.391 -0.391 1.532
C 2.870 -2.492 4.596
```

---

DFT (PBE) results for a geometry-optimized CaRh3C structure.

extended XYZ file:
```
10
Lattice="7.222 -2.000 0.000 7.222 2.000 0.000 -3.111 0.000 6.103" Properties=species:S:1:pos:R:3 pbc="T T T"
Ca 1.324 0.000 1.595
Ca 10.008 0.000 4.508
Rh 0.304 0.000 5.180
Rh 4.280 0.000 2.787
Rh 6.277 0.000 0.843
Rh 5.055 0.000 5.259
Rh 7.053 0.000 3.316
Rh 11.029 0.000 0.923
C 4.362 0.000 0.837
C 6.971 0.000 5.266
```

---

Volume per entry: 339 176 Å³ per cell
ΔE_f per entry: -19 61 meV per atom